[1]
# BaCd2Se

BaCd2Se after structural relaxation (PBE, Alexandria).

```
BaCd2Se
1.0
5.1398 0.0000 0.0000
0.0000 6.1965 0.0000
0.0000 0.0000 7.8566
Ba Cd Se
2 4 2
direct
0.0000 0.0000 0.0000
0.5000 0.5000 0.5000
0.0000 0.0000 0.5041
0.0000 0.5000 0.2099
0.5000 0.0000 0.7099
0.5000 0.5000 0.0041
0.0000 0.5000 0.7832
0.5000 0.0000 0.2832
```

Calculated values
Its space group is No. 44. Its calculated total energy is -19.47 eV per cell. The calculation puts the formation energy without anion corrections at -2.50 eV per formula unit.

[2]
# SmPa2BeO8

SmPa2BeO8 after structural relaxation (PBE, Alexandria).

```
SmPa2BeO8
1.0
4.9340 0.0000 0.0000
-2.4670 4.2729 0.0000
0.0000 0.0000 6.5498
Sm Pa Be O
1 2 1 8
direct
0.0000 0.0000 0.0000
0.3333 0.6667 0.3569
0.6667 0.3333 0.6431
0.0000 0.0000 0.5000
0.1644 0.3288 0.6657
0.1644 0.8356 0.6657
0.3288 0.1644 0.3343
0.3333 0.6667 0.0595
0.6667 0.3333 0.9405
0.6712 0.8356 0.6657
0.8356 0.1644 0.3343
0.8356 0.6712 0.3343
```

Calculated values
Its space group is No. 164. Its calculated total energy is -100.89 eV per cell. The calculation puts the formation energy without anion corrections at -33.79 eV per formula unit.

[3]
# AcIn2Pt6

AcIn2Pt6 after structural relaxation (PBE, Alexandria).

```
AcIn2Pt6
1.0
-2.0580 3.6116 6.6773
2.0580 -3.6116 6.6773
2.0580 3.6116 -6.6773
Ac In Pt
1 2 6
direct
0.0000 0.0000 0.0000
0.3616 0.8616 0.5000
0.6384 0.1384 0.5000
0.0600 0.3080 0.7520
0.3102 0.5000 0.8102
0.4440 0.6920 0.7520
0.5560 0.3080 0.2480
0.6898 0.5000 0.1898
0.9400 0.6920 0.2480
```

Calculated values
Its space group is No. 71. The energy of formation comes out at -364 meV per atom. Its calculated total energy is -49.11 eV per cell.

[4]
# Dy2HoSn

Dy2HoSn after structural relaxation (PBE, Alexandria).

```
Dy2HoSn
1.0
3.4975 0.0000 0.0000
-1.7487 3.0289 0.0000
0.0000 0.0000 35.6859
Dy Ho Sn
6 3 3
direct
0.0000 0.0000 0.0873
0.0000 0.0000 0.9127
0.3333 0.6667 0.5794
0.3333 0.6667 0.7540
0.6667 0.3333 0.2460
0.6667 0.3333 0.4206
0.0000 0.0000 0.5000
0.3333 0.6667 0.1667
0.6667 0.3333 0.8333
0.0000 0.0000 0.0000
0.3333 0.6667 0.6667
0.6667 0.3333 0.3333
```

Calculated values
Its space group is No. 166. The value obtained for the energy above the most stable polymorph in this dataset is 0.461 eV/atom. The energy of formation comes out at 45 meV per atom. Its calculated total energy is -52.81 eV per cell.

[5]
# TiSiPd3

TiSiPd3 after structural relaxation (PBE, Alexandria).

```
TiSiPd3
1.0
4.6520 0.0000 0.0000
0.0000 4.6520 0.0000
0.0000 0.0000 4.6520
Ti Si Pd
1 1 3
direct
0.0000 0.0000 0.0000
0.5000 0.5000 0.5000
0.0000 0.0000 0.5000
0.0000 0.5000 0.0000
0.5000 0.0000 0.0000
```

Calculated values
Its space group is No. 221. The value obtained for the energy above the most stable polymorph in this dataset is 0.661 eV/atom. Its calculated total energy is -25.49 eV per cell. The calculation puts the formation energy without anion corrections at 3.40 eV per formula unit.

[6]
# NaCa3Pm3Te8

NaCa3Pm3Te8 after structural relaxation (PBE, Alexandria).

```
NaCa3Pm3Te8
1.0
4.4883 2.5913 7.3454
-4.4883 2.5913 7.3454
0.0000 -5.1826 7.3454
Na Ca Pm Te
1 3 3 8
direct
0.0000 0.0000 0.0000
0.0000 0.0000 0.5000
0.0000 0.5000 0.0000
0.5000 0.0000 0.0000
0.0000 0.5000 0.5000
0.5000 0.0000 0.5000
0.5000 0.5000 0.0000
0.2500 0.2500 0.2500
0.2538 0.2538 0.7417
0.2538 0.7417 0.2538
0.2583 0.7462 0.7462
0.7417 0.2538 0.2538
0.7462 0.2583 0.7462
0.7462 0.7462 0.2583
0.7500 0.7500 0.7500
```

Calculated values
Its space group is No. 166. Its calculated total energy is -67.92 eV per cell. The calculation puts the formation energy without anion corrections at -21.21 eV per formula unit.

[7]
# Pr10NdDy6

Pr10NdDy6 after structural relaxation (PBE, Alexandria).

```
Pr10NdDy6
1.0
9.9360 0.0000 0.0000
-4.9680 8.6048 0.0000
0.0000 0.0000 6.9758
Pr Nd Dy
10 1 6
direct
0.0000 0.2767 0.1814
0.0000 0.7233 0.8186
0.2767 0.0000 0.1814
0.2767 0.2767 0.8186
0.3333 0.6667 0.0000
0.3333 0.6667 0.5000
0.6667 0.3333 0.0000
0.6667 0.3333 0.5000
0.7233 0.0000 0.8186
0.7233 0.7233 0.1814
0.0000 0.0000 0.5000
0.0000 0.3696 0.6890
0.0000 0.6304 0.3110
0.3696 0.0000 0.6890
0.3696 0.3696 0.3110
0.6304 0.0000 0.3110
0.6304 0.6304 0.6890
```

Calculated values
Its space group is No. 162. The energy of formation comes out at 130 meV per atom. Its calculated total energy is -77.97 eV per cell.

[8]
# CeNd2SmDy5

CeNd2SmDy5 after structural relaxation (PBE, Alexandria).

```
CeNd2SmDy5
1.0
-4.3252 4.3252 7.8245
4.3252 -4.3252 7.8245
4.3252 4.3252 -7.8245
Ce Nd Sm Dy
2 4 2 10
direct
0.2500 0.7500 0.5000
0.7500 0.2500 0.5000
0.1206 0.6206 0.7412
0.3794 0.1206 0.5000
0.6206 0.8794 0.5000
0.8794 0.3794 0.2588
0.2500 0.2500 0.0000
0.7500 0.7500 0.0000
0.0000 0.0000 0.0000
0.0632 0.1565 0.5000
0.1565 0.6565 0.0933
0.3435 0.4368 0.5000
0.4368 0.9368 0.0933
0.5000 0.5000 0.0000
0.5632 0.0632 0.9067
0.6565 0.5632 0.5000
0.8435 0.3435 0.9067
0.9368 0.8435 0.5000
```

Calculated values
Its space group is No. 140. The energy of formation comes out at 266 meV per atom. Its calculated total energy is -81.61 eV per cell.

[9]
# Tl2OsCl

Tl2OsCl after structural relaxation (PBE, Alexandria).

```
Tl2OsCl
1.0
3.2620 0.0000 0.0000
0.0000 4.7366 0.0000
0.0000 0.0000 6.7711
Tl Os Cl
2 1 1
direct
0.0000 0.0000 0.0000
0.5000 0.0000 0.5000
0.0000 0.5000 0.5000
0.5000 0.5000 0.0000
```

Calculated values
Its space group is No. 47. The value obtained for the energy above the most stable polymorph in this dataset is 0.312 eV/atom. Its calculated total energy is -14.65 eV per cell. The calculation puts the formation energy without anion corrections at 3.15 eV per formula unit.

[10]
# YHo2Tl2Zn2

YHo2Tl2Zn2 after structural relaxation (PBE, Alexandria).

```
YHo2Tl2Zn2
1.0
2.3745 1.3709 8.9550
-2.3745 1.3709 8.9550
0.0000 -2.7418 8.9550
Y Ho Tl Zn
1 2 2 2
direct
0.0000 0.0000 0.0000
0.1293 0.1293 0.1293
0.8707 0.8707 0.8707
0.2665 0.2665 0.2665
0.7335 0.7335 0.7335
0.4171 0.4171 0.4171
0.5829 0.5829 0.5829
```

Calculated values
Its space group is No. 166. The energy of formation comes out at -148 meV per atom. Its calculated total energy is -23.93 eV per cell.

[11]
# RbReNF2

RbReNF2 after structural relaxation (PBE, Alexandria).

```
RbReNF2
1.0
4.4610 0.0000 0.0000
0.0000 4.4610 0.0000
0.0000 0.0000 3.8162
Rb Re N F
1 1 1 2
direct
0.0000 0.0000 0.0000
0.5000 0.5000 0.5000
0.5000 0.5000 0.0000
0.0000 0.5000 0.5000
0.5000 0.0000 0.5000
```

Calculated values
Its space group is No. 123. The value obtained for the energy above the most stable polymorph in this dataset is 0.000 eV/atom. Its calculated total energy is -30.84 eV per cell. The calculation puts the formation energy without anion corrections at -5.35 eV per formula unit.

[12]
# PmDyY2

PmDyY2 after structural relaxation (PBE, Alexandria).

```
PmDyY2
1.0
3.5827 0.0000 0.0000
0.0000 3.5827 0.0000
0.0000 0.0000 10.1484
Pm Dy Y
1 1 2
direct
0.0000 0.0000 0.0000
0.0000 0.0000 0.5000
0.5000 0.5000 0.2534
0.5000 0.5000 0.7466
```

Calculated values
Its space group is No. 123. The value obtained for the energy above the most stable polymorph in this dataset is 0.010 eV/atom. The energy of formation comes out at 22 meV per atom. Its calculated total energy is -22.19 eV per cell.

[13]
# AcDyCdSn

AcDyCdSn after structural relaxation (PBE, Alexandria).

```
AcDyCdSn
1.0
7.8382 0.0000 0.0000
0.0000 7.8382 0.0000
0.0000 0.0000 7.8382
Ac Dy Cd Sn
4 4 4 4
direct
0.0000 0.0000 0.0000
0.0000 0.5000 0.5000
0.5000 0.0000 0.5000
0.5000 0.5000 0.0000
0.0000 0.0000 0.5000
0.0000 0.5000 0.0000
0.5000 0.0000 0.0000
0.5000 0.5000 0.5000
0.2500 0.2500 0.2500
0.2500 0.7500 0.7500
0.7500 0.2500 0.7500
0.7500 0.7500 0.2500
0.2500 0.2500 0.7500
0.2500 0.7500 0.2500
0.7500 0.2500 0.2500
0.7500 0.7500 0.7500
```

Calculated values
Its space group is No. 216. The energy of formation comes out at -443 meV per atom. Its calculated total energy is -61.60 eV per cell.

[14]
# Tm3AlAg3Te8

Tm3AlAg3Te8 after structural relaxation (PBE, Alexandria).

```
Tm3AlAg3Te8
1.0
4.2996 2.4824 6.9950
-4.2996 2.4824 6.9950
0.0000 -4.9648 6.9950
Tm Al Ag Te
3 1 3 8
direct
0.0000 0.5000 0.5000
0.5000 0.0000 0.5000
0.5000 0.5000 0.0000
0.0000 0.0000 0.0000
0.0000 0.0000 0.5000
0.0000 0.5000 0.0000
0.5000 0.0000 0.0000
0.2317 0.7645 0.7645
0.2355 0.2355 0.7683
0.2355 0.7683 0.2355
0.2505 0.2505 0.2505
0.7495 0.7495 0.7495
0.7645 0.2317 0.7645
0.7645 0.7645 0.2317
0.7683 0.2355 0.2355
```

Calculated values
Its space group is No. 166. Its calculated total energy is -61.09 eV per cell. The calculation puts the formation energy without anion corrections at -10.25 eV per formula unit.

[15]
# SiTc2Mo

SiTc2Mo after structural relaxation (PBE, Alexandria).

```
SiTc2Mo
1.0
3.1015 0.0000 0.0000
0.0000 4.1817 0.0000
0.0000 0.0000 8.7361
Si Tc Mo
2 4 2
direct
0.0000 0.0000 0.0000
0.5000 0.5000 0.5000
0.0000 0.0000 0.5036
0.0000 0.5000 0.2633
0.5000 0.0000 0.7633
0.5000 0.5000 0.0036
0.0000 0.5000 0.7469
0.5000 0.0000 0.2469
```

Calculated values
Its space group is No. 44. Its calculated total energy is -76.07 eV per cell. The calculation puts the formation energy without anion corrections at -1.05 eV per formula unit.

[16]
# AcHo2Be

AcHo2Be after structural relaxation (PBE, Alexandria).

```
AcHo2Be
1.0
3.5965 0.0000 0.0000
-1.7982 3.1146 0.0000
0.0000 0.0000 34.6088
Ac Ho Be
3 6 3
direct
0.0000 0.0000 0.0000
0.3333 0.6667 0.6667
0.6667 0.3333 0.3333
0.0000 0.0000 0.4180
0.0000 0.0000 0.5820
0.3333 0.6667 0.0846
0.3333 0.6667 0.2487
0.6667 0.3333 0.7513
0.6667 0.3333 0.9154
0.0000 0.0000 0.5000
0.3333 0.6667 0.1667
0.6667 0.3333 0.8333
```

Calculated values
Its space group is No. 166. The value obtained for the energy above the most stable polymorph in this dataset is 0.663 eV/atom. The energy of formation comes out at 779 meV per atom. Its calculated total energy is -41.63 eV per cell.

[17]
# KNdTlCd

KNdTlCd after structural relaxation (PBE, Alexandria).

```
KNdTlCd
1.0
7.9575 0.0000 0.0000
0.0000 7.9575 0.0000
0.0000 0.0000 7.9575
K Nd Tl Cd
4 4 4 4
direct
0.0000 0.0000 0.0000
0.0000 0.5000 0.5000
0.5000 0.0000 0.5000
0.5000 0.5000 0.0000
0.0000 0.0000 0.5000
0.0000 0.5000 0.0000
0.5000 0.0000 0.0000
0.5000 0.5000 0.5000
0.2500 0.2500 0.2500
0.2500 0.7500 0.7500
0.7500 0.2500 0.7500
0.7500 0.7500 0.2500
0.2500 0.2500 0.7500
0.2500 0.7500 0.2500
0.7500 0.2500 0.2500
0.7500 0.7500 0.7500
```

Calculated values
Its space group is No. 216. The energy of formation comes out at -69 meV per atom. Its calculated total energy is -37.70 eV per cell.

[18]
# MgAs3Os

MgAs3Os after structural relaxation (PBE, Alexandria).

```
MgAs3Os
1.0
4.8587 0.0000 0.0000
0.0000 4.8587 0.0000
0.0000 0.0000 4.8587
Mg As Os
1 3 1
direct
0.0000 0.0000 0.0000
0.0000 0.5000 0.5000
0.5000 0.0000 0.5000
0.5000 0.5000 0.0000
0.5000 0.5000 0.5000
```

Calculated values
Its space group is No. 221. The value obtained for the energy above the most stable polymorph in this dataset is 0.000 eV/atom. The energy of formation comes out at 546 meV per atom. Its calculated total energy is -24.04 eV per cell.

[19]
# ScCd2PbO6

ScCd2PbO6 after structural relaxation (PBE, Alexandria).

```
ScCd2PbO6
1.0
2.8293 1.6335 4.9652
-2.8293 1.6335 4.9652
0.0000 -3.2670 4.9652
Sc Cd Pb O
1 2 1 6
direct
0.0000 0.0000 0.0000
0.2840 0.2840 0.2840
0.7828 0.7828 0.7828
0.4992 0.4992 0.4992
0.1165 0.7172 0.3639
0.2036 0.6253 0.8750
0.3639 0.1165 0.7172
0.6253 0.8750 0.2036
0.7172 0.3639 0.1165
0.8750 0.2036 0.6253
```

Calculated values
Its space group is No. 146. Its calculated total energy is -56.11 eV per cell. The calculation puts the formation energy without anion corrections at -14.49 eV per formula unit.

[20]
# Sr2SmScSe4

Sr2SmScSe4 after structural relaxation (PBE, Alexandria).

```
Sr2SmScSe4
1.0
7.2398 0.0000 0.0000
0.0000 4.1875 0.0000
-2.4210 0.0000 7.0208
Sr Sm Sc Se
2 1 1 4
direct
0.0000 0.0000 0.0000
0.5000 0.5000 0.0000
0.0000 0.5000 0.5000
0.5000 0.0000 0.5000
0.2545 0.0000 0.7311
0.2689 0.5000 0.2760
0.7311 0.5000 0.7240
0.7455 0.0000 0.2689
```

Calculated values
Its space group is No. 10. Its calculated total energy is -42.97 eV per cell. The calculation puts the formation energy without anion corrections at -14.61 eV per formula unit.